No. 1
DFT (PBE-GGA) results for a geometry-optimized Sm2PuC2 structure.

Output
raw total energy	-8.458	eV per atom

abc: 5.3035 6.3946 7.5919
angles: 65.03 69.56 65.50
Site moments in Bohr magnetons follow the coordinates.
Fractional coordinates of all 10 atoms:
C (0.8152, 0.7586, 0.6111)  -0.12
Sm (0.3258, 0.7552, 0.5932)  0.07
C (0.1848, 0.2414, 0.3889)  -0.12
C (0.5123, 0.7265, 0.2489)  -0.15
Pu (0.6321, 0.8401, 0.8957)  4.77
Sm (0.6742, 0.2448, 0.4068)  0.07
C (0.4877, 0.2735, 0.7511)  -0.15
Sm (0.9762, 0.3085, 0.7391)  0.08
Pu (0.3679, 0.1599, 0.1043)  4.77
Sm (0.0238, 0.6915, 0.2609)  0.08


No. 2
DFT (PBE-GGA) results for a geometry-optimized MnTlTe2N structure.

Output
energy above the lowest structure with this stoichiometry	0.0	kJ/mol of atoms
formation energy (no corrections)	9.2	kJ/mol of atoms

abc: 5.7315 5.7315 3.5082
angles: 90.00 90.00 90.00
Site moments in Bohr magnetons follow the coordinates.
Fractional coordinates of all 5 atoms:
N (0.0000, 0.0000, 0.5000)  -0.28
Te (0.5000, 0.0000, 0.0000)  -0.09
Mn (0.0000, 0.0000, 0.0000)  2.18
Tl (0.5000, 0.5000, 0.5000)  0.00
Te (0.0000, 0.5000, 0.0000)  -0.09


No. 3
DFT (PBE-GGA) results for a geometry-optimized CaY2Tl2 structure.

Output
energy above the lowest structure with this stoichiometry	8.6	kJ/mol of atoms

abc: 9.2153 9.2153 3.5333
angles: 90.00 90.00 90.00
Fractional coordinates of all 10 atoms:
Y (0.3724, 0.8724, 0.0000)
Tl (0.3260, 0.1740, 0.5000)
Tl (0.1740, 0.6740, 0.5000)
Tl (0.8260, 0.3260, 0.5000)
Ca (0.0000, 0.0000, 0.0000)
Y (0.8724, 0.6276, 0.0000)
Ca (0.5000, 0.5000, 0.0000)
Y (0.1276, 0.3724, 0.0000)
Y (0.6276, 0.1276, 0.0000)
Tl (0.6740, 0.8260, 0.5000)